(1)
A relaxed SiHgMo crystal, computed with PBE.

```
3
Lattice="4.2416 0.0000 0.0000 -2.1208 3.6734 0.0000 0.0000 0.0000 3.4641" Properties=species:S:1:pos:R:3 pbc="T T T"
Hg 0.0000 0.0000 3.4628
Mo 0.0000 2.4489 1.7311
Si 2.1208 1.2244 1.7345
```

formation energy without anion corrections = 0.497 eV per atom
space-group type = P-6m2, No. 187
E above lowest polymorph = 138 kJ/mol of formula units



(2)
A relaxed Na2LiScAs crystal, computed with PBE.

```
5
Lattice="4.6117 0.0000 0.0000 0.0000 5.5717 0.0000 0.0000 0.0000 4.6117" Properties=species:S:1:pos:R:3 pbc="T T T"
Na 0.0000 0.0000 2.3059
Na 2.3059 0.0000 0.0000
Li 0.0000 0.0000 0.0000
Sc 0.0000 2.7859 0.0000
As 2.3059 2.7859 2.3059
```

energy of formation from the pure elements = 0.36 eV per atom
space-group type = P4/mmm, No. 123



(3)
A relaxed FeNi2HOs crystal, computed with PBE.

```
5
Lattice="-2.0753 -1.0628 2.7592 2.6456 -2.1728 1.1529 1.3917 2.8278 2.1360" Properties=species:S:1:pos:R:3 pbc="T T T"
Ni -1.0376 -0.5314 1.3796
Ni 1.3228 -1.0864 0.5764
Os 0.9810 -0.2040 3.0240
H 0.0000 0.0000 0.0000
Fe 0.6958 1.4139 1.0680
```

space-group type = P4/mmm, No. 123
E above lowest polymorph = 15 kJ/mol of formula units



(4)
A relaxed LiPtCl crystal, computed with PBE.

```
6
Lattice="15.9195 0.0000 -0.0187 7.5503 2.0246 -1.7864 -7.5503 2.0246 1.7864" Properties=species:S:1:pos:R:3 pbc="T T T"
Pt 7.2384 2.0246 -0.8533
Pt 9.3934 2.0246 0.5212
Li 15.2633 2.0246 -0.8779
Li 3.5320 2.0246 1.5697
Cl 10.6596 2.0246 -1.6567
Cl 6.0237 2.0246 1.2901
```

formation energy without anion corrections = -0.751 eV per atom
space-group type = Cm, No. 8
E above lowest polymorph = 22 kJ/mol of formula units



(5)
A relaxed BaSiMo2 crystal, computed with PBE.

```
4
Lattice="4.5618 0.0000 0.0000 0.0000 3.4429 -0.0074 0.0000 0.8403 6.2849" Properties=species:S:1:pos:R:3 pbc="T T T"
Ba 2.2809 3.2124 4.7081
Mo 0.0000 0.2468 0.7296
Mo 0.0000 1.8948 2.4092
Si 2.2809 1.0708 1.5694
```

formation energy without anion corrections = 0.575 eV per atom
space-group type = P2/m, No. 10



(6)
A relaxed Sr2MnAsN crystal, computed with PBE.

```
5
Lattice="-4.8557 1.8290 -1.3655 -0.8651 -4.4451 -2.8775 -1.5416 -1.7399 3.1512" Properties=species:S:1:pos:R:3 pbc="T T T"
Sr -0.4325 -2.2226 -1.4388
Sr -2.4278 0.9145 -0.6828
Mn -0.7708 -0.8700 1.5756
N 0.0000 0.0000 0.0000
As -3.6312 -2.1780 -0.5459
```

formation energy without anion corrections = -0.628 eV per atom
space-group type = P4/mmm, No. 123



(7)
A relaxed SrTeAs crystal, computed with PBE.

```
3
Lattice="5.0104 0.0000 0.0000 -2.5052 4.3391 0.0000 0.0000 0.0000 4.1710" Properties=species:S:1:pos:R:3 pbc="T T T"
As 0.0000 0.0000 3.4762
Sr 2.5052 1.4464 1.3911
Te 0.0000 2.8927 3.4748
```

formation energy without anion corrections = -0.630 eV per atom
space-group type = P-6m2, No. 187



(8)
A relaxed TbPm2As crystal, computed with PBE.

```
4
Lattice="-2.2087 -1.2562 -2.9466 1.6482 -0.9876 -3.3832 0.8754 -10.5210 1.2604" Properties=species:S:1:pos:R:3 pbc="T T T"
Pm 0.5241 -7.2890 0.1458
Pm -0.2091 -5.4759 -5.2152
As 0.1575 -6.3824 -2.5347
Tb 0.0000 0.0000 0.0000
```

energy of formation from the pure elements = -0.38 eV per atom
space-group type = R-3m, No. 166
E above lowest polymorph = 84 kJ/mol of formula units



(9)
A relaxed PrDyEr2 crystal, computed with PBE.

```
8
Lattice="-5.4997 -2.7929 -1.0941 2.3106 -5.0479 1.2697 -7.3257 -1.8749 5.8793" Properties=species:S:1:pos:R:3 pbc="T T T"
Pr -4.7266 -6.3843 5.1415
Pr -6.3311 -4.5551 2.5643
Dy -7.9298 -7.5512 6.3401
Dy -3.1269 -3.3908 1.3680
Er -7.2455 -4.0888 6.0871
Er -7.0175 -8.0181 2.8190
Er -3.8108 -6.8528 1.6197
Er -9.5396 -5.7146 3.7942
```

energy of formation from the pure elements = 0.02 eV per atom
space-group type = P2_1/m, No. 11
E above lowest polymorph = 0 kJ/mol of formula units



(10)
A relaxed Sb2MoW crystal, computed with PBE.

```
4
Lattice="-0.4078 -3.6891 2.8632 0.7755 -4.6229 0.0342 5.0369 -0.1924 2.1705" Properties=species:S:1:pos:R:3 pbc="T T T"
Sb 2.7039 -4.2500 2.5339
Sb 5.0353 -0.1946 2.1706
W 1.3512 -2.1261 1.2670
Mo 4.0535 -6.3783 3.8009
```

formation energy without anion corrections = 0.578 eV per atom
space-group type = C2/m, No. 12
E above lowest polymorph = 157 kJ/mol of formula units



(11)
A relaxed PaGaI5 crystal, computed with PBE.

```
14
Lattice="-1.6678 -1.1083 -8.0755 -7.8091 -2.7708 -0.7508 -7.0655 8.5666 -3.9797" Properties=species:S:1:pos:R:3 pbc="T T T"
I -8.9013 -0.4467 -2.5499
I -7.6411 5.1341 -10.2561
I -6.0681 2.7056 -7.2045
I -7.7768 6.5910 -6.0956
I -5.2678 2.0306 -2.8847
I -4.3315 -1.5949 -6.7246
I -8.7656 -1.9036 -6.7104
I -10.4743 1.9818 -5.6015
I -12.2109 6.2823 -6.0814
I -11.2745 2.6568 -9.9213
Ga -10.0328 4.4866 -7.4036
Ga -6.5096 0.2008 -5.4024
Pa 0.0000 0.0000 0.0000
Pa -3.5328 4.2833 -1.9898
```

formation energy without anion corrections = -0.729 eV per atom
space-group type = C2/c, No. 15



(12)
A relaxed Sr2LiMg2 crystal, computed with PBE.

```
10
Lattice="8.2403 0.0000 0.0000 0.0000 8.2403 0.0000 0.0000 0.0000 5.3896" Properties=species:S:1:pos:R:3 pbc="T T T"
Mg 7.1668 5.1937 0.0000
Mg 1.0735 3.0466 0.0000
Mg 5.1937 1.0735 0.0000
Mg 3.0466 7.1668 0.0000
Sr 2.6927 1.4275 2.6948
Sr 1.4275 5.5477 2.6948
Sr 6.8128 2.6927 2.6948
Sr 5.5477 6.8128 2.6948
Li 0.0000 0.0000 0.0000
Li 4.1202 4.1202 0.0000
```

energy of formation from the pure elements = 0.02 eV per atom
space-group type = P4/mbm, No. 127
E above lowest polymorph = 23 kJ/mol of formula units